(1)
A geometry-optimized CaHgRh2 structure, computed with PBE.

Calculated values
- Fermi-level density of states (states/eV/cell) = 12.692
- formation energy (eV per atom) = 0.153

abc: 3.1429 3.1429 26.4581
angles: 90.00 90.00 120.00
Space group R-3m (No. 166, hexagonal axes)
One atom of each set of equivalent atoms:
Ca: 0.0000 0.0000 0.0000 (multiplicity 3)
Hg: 0.0000 0.0000 0.5000 (multiplicity 3)
Rh: 0.0000 0.0000 0.2486 (multiplicity 6)

=====

(2)
A geometry-optimized LaSmInPb structure, computed with PBE.

Calculated values
- ΔE to the lowest computed polymorph (meV per atom) = 0
- Fermi-level density of states (states/eV/cell) = 8.294
- formation energy (eV per atom) = -0.528

abc: 4.490 4.759 11.972
angles: 90.00 90.00 90.00
Space group Amm2 (No. 38)
One atom of each set of equivalent atoms:
La: 0.000 0.000 0.000 (multiplicity 2)
Sm: 0.500 0.000 0.727 (multiplicity 2)
In: 0.500 0.000 0.449 (multiplicity 2)
Pb: 0.000 0.000 0.276 (multiplicity 2)

=====

(3)
A geometry-optimized YCoSb structure, computed with PBE.

Calculated values
- Fermi-level density of states (states/eV/cell) = 6.160
- raw formation energy (eV per atom) = -0.25

abc: 3.340 3.340 11.008
angles: 90.00 90.00 90.00
Space group I4mm (No. 107)
One atom of each set of equivalent atoms:
Y: 0.000 0.000 0.000 (multiplicity 2)
Co: 0.000 0.000 0.668 (multiplicity 2)
Sb: 0.000 0.000 0.286 (multiplicity 2)

=====

(4)
A geometry-optimized ThCrSe structure, computed with PBE.

Calculated values
- Fermi-level density of states (states/eV/cell) = 12.274
- raw formation energy (eV per atom) = -0.50

abc: 6.012 5.593 8.375
angles: 90.00 105.91 90.00
Space group C2/m (No. 12)
One atom of each set of equivalent atoms:
Th: 0.125 0.000 0.251 (multiplicity 4)
Cr: 0.160 0.500 0.041 (multiplicity 4)
Se: 0.172 0.500 0.354 (multiplicity 4)